{
  "formula": "K2SnF2",
  "functional": "SCAN",
  "state": "PBEsol geometry",
  "lattice_angstrom": [[-3.696, 1.846, 1.835], [1.350, -1.366, 4.092], [4.203, 5.061, -2.194]],
  "species": ["K", "K", "Sn", "F", "F"],
  "fractional_positions": [[0.332, 0.332, 0.664], [0.668, 0.668, 0.336], [0.000, 0.000, 0.000], [0.250, 0.750, 0.500], [0.750, 0.250, 0.500]],
  "formation_energy_uncorrected_ev_per_fu": -8.2,
  "crystal_system": "tetragonal",
  "magmom_total_mub_per_cell": 0.00,
  "e_tot_ev_per_atom": -13.563,
  "sg": "No. 139"
}